BaTa3Pt: optimized geometry, PBE-GGA.

Space-group type ... Pm-3m, No. 221
DOS at the Fermi energy ... 1.403 states/eV per atom
Energy above the lowest structure with this stoichiometry ... 0.000 eV/f.u.
Formation energy ... 1.082 eV per atom
Size of the total moment ... 0.00 μB per formula unit

a b c (Å): 5.063 5.063 5.063
angles (deg): 90.00 90.00 90.00
Positions (direct):
1 Ba 0.500 0.500 0.500
2 Ta 0.000 0.500 0.000
3 Ta 0.500 0.000 0.000
4 Ta 0.000 0.000 0.500
5 Pt 0.000 0.000 0.000

BaTaPt2: optimized geometry, PBE-GGA.

Space-group type ... P4mm, No. 99
DOS at the Fermi energy ... 0.788 states/eV per atom
Energy above the lowest structure with this stoichiometry ... 1.749 eV/f.u.
Formation energy ... -0.084 eV per atom
Size of the total moment ... 0.00 μB per formula unit

a b c (Å): 3.513 3.519 7.651
angles (deg): 90.00 90.00 90.00
Positions (direct):
1 Pt 0.000 0.000 0.062
2 Pt 0.500 0.500 0.267
3 Ba 0.500 0.500 0.776
4 Ta 0.000 0.000 0.395

BaTa3Pt: optimized geometry, PBE-GGA.

Space-group type ... Pm-3m, No. 221
DOS at the Fermi energy ... 0.843 states/eV per atom
Energy above the lowest structure with this stoichiometry ... 9.640 eV/f.u.
Formation energy ... 3.010 eV per atom
Size of the total moment ... 0.00 μB per formula unit

a b c (Å): 4.971 4.971 4.971
angles (deg): 90.00 90.00 90.00
Positions (direct):
1 Ta 0.000 0.000 0.500
2 Ta 0.500 0.000 0.000
3 Ta 0.000 0.500 0.000
4 Ba 0.000 0.000 0.000
5 Pt 0.500 0.500 0.500

BaTaPt2: optimized geometry, PBE-GGA.

Space-group type ... F-43m, No. 216
DOS at the Fermi energy ... 0.597 states/eV per atom
Energy above the lowest structure with this stoichiometry ... 3.452 eV/f.u.
Formation energy ... 0.342 eV per atom
Size of the total moment ... 0.00 μB per formula unit

a b c (Å): 4.834 4.834 4.834
angles (deg): 60.00 60.00 60.00
Positions (direct):
1 Pt 0.250 0.250 0.250
2 Pt 0.000 0.000 0.000
3 Ba 0.500 0.500 0.500
4 Ta 0.750 0.750 0.750

BaTaPt2: optimized geometry, PBE-GGA.

Space-group type ... Imm2, No. 44
DOS at the Fermi energy ... 0.799 states/eV per atom
Energy above the lowest structure with this stoichiometry ... 2.320 eV/f.u.
Formation energy ... 0.059 eV per atom
Size of the total moment ... 0.00 μB per formula unit

a b c (Å): 6.322 6.322 6.322
angles (deg): 152.47 131.82 56.39
Positions (direct):
1 Ta 0.464 0.464 0.000
2 Pt 0.259 0.759 0.500
3 Pt 0.025 0.025 0.000
4 Ba 0.752 0.252 0.500

BaTaPt2: optimized geometry, PBE-GGA.

Space-group type ... R3m, No. 160
DOS at the Fermi energy ... 0.914 states/eV per atom
Energy above the lowest structure with this stoichiometry ... 0.000 eV/f.u.
Formation energy ... -0.521 eV per atom
Size of the total moment ... 0.00 μB per formula unit

a b c (Å): 4.514 4.514 7.882
angles (deg): 55.00 55.00 59.94
Positions (direct):
1 Ba 0.627 0.627 0.748
2 Pt 0.225 0.225 0.351
3 Pt 0.019 0.019 0.158
4 Ta 0.630 0.630 0.243

BaTaPt2: optimized geometry, PBE-GGA.

Space-group type ... Pmm2, No. 25
DOS at the Fermi energy ... 0.854 states/eV per atom
Energy above the lowest structure with this stoichiometry ... 0.985 eV/f.u.
Formation energy ... -0.275 eV per atom
Size of the total moment ... 0.00 μB per formula unit

a b c (Å): 3.694 3.696 7.373
angles (deg): 90.01 90.00 90.00
Positions (direct):
1 Ba 0.500 0.625 0.778
2 Ta 0.000 0.625 0.288
3 Pt 0.000 0.125 0.048
4 Pt 0.500 0.125 0.386

BaTaPt2: optimized geometry, PBE-GGA.

Space-group type ... I-4m2, No. 119
DOS at the Fermi energy ... 0.753 states/eV per atom
Energy above the lowest structure with this stoichiometry ... 3.465 eV/f.u.
Formation energy ... 0.345 eV per atom
Size of the total moment ... 0.00 μB per formula unit

a b c (Å): 5.539 5.539 5.539
angles (deg): 134.93 134.93 65.64
Positions (direct):
1 Ba 0.750 0.250 0.500
2 Pt 0.000 0.000 0.000
3 Pt 0.250 0.750 0.500
4 Ta 0.500 0.500 0.000